VASP calculation (PBE) on SrLa3Sb4 after structural relaxation.

Cell: 8.0689 8.0722 9.3241 Å, 90.00 90.00 109.56°
Sites, in units of the cell vectors:
Sb  0.4987  0.2593  0.8700
Sb  0.4952  0.7478  0.6201
Sb  0.9987  0.2593  0.1300
Sb  0.9952  0.7478  0.3799
Sb  0.0013  0.7407  0.8700
Sb  0.0048  0.2522  0.6201
Sb  0.5013  0.7407  0.1300
Sb  0.5048  0.2522  0.3799
La  0.2500  0.5000  0.8759
La  0.7500  0.0000  0.3737
La  0.2500  0.5000  0.3743
La  0.2500  0.0000  0.6263
La  0.7500  0.5000  0.1241
La  0.7500  0.5000  0.6257
Sr  0.2500  0.0000  0.1242
Sr  0.7500  0.0000  0.8758

Values from the calculation:
**Crystal system**: monoclinic
**SG**: No. 13
**Calculated total energy**: -5.2613 eV/atom
**Formation energy from raw total energies**: -1.142 eV per atom